[1]
The following is a DFT calculation (PBE) of crystalline AcPmDy2Ho5 at its relaxed geometry.

For the energy, the calculation gives -4.278 eV/atom. As for the volume: 604.4 Å³/cell. The space-group type is I4/mcm, No. 140. The formation energy comes out at 272 meV/atom. The magnetic moment comes out at 0.000 μB/atom.

Lattice parameters (Å, degrees): 8.922 8.922 9.872 116.87 116.87 90.00
Fractional coordinates of all 18 atoms:
Ac  0.250  0.250  0.500
Ac  0.750  0.750  0.500
Pm  0.250  0.750  0.500
Pm  0.750  0.250  0.500
Dy  0.114  0.386  0.000
Dy  0.614  0.114  0.000
Dy  0.386  0.886  0.000
Dy  0.886  0.614  0.000
Ho  0.925  0.425  0.254
Ho  0.671  0.171  0.746
Ho  0.075  0.575  0.746
Ho  0.171  0.075  0.746
Ho  0.575  0.671  0.746
Ho  0.829  0.925  0.254
Ho  0.425  0.329  0.254
Ho  0.329  0.829  0.254
Ho  0.500  0.500  0.000
Ho  0.000  0.000  0.000

---

[2]
The following is a DFT calculation (PBE) of crystalline AcPm4DyHo2 at its relaxed geometry.

For the energy, the calculation gives -4.578 eV/atom. As for the volume: 274.5 Å³/cell. The space-group type is Pmmm, No. 47. The formation energy comes out at 31 meV/atom. The magnetic moment comes out at 0.000 μB/atom.

Lattice parameters (Å, degrees): 5.172 5.139 11.536 63.53 90.00 90.00
Fractional coordinates of all 8 atoms:
Ac  0.500  0.500  0.000
Pm  0.000  0.757  0.743
Pm  0.000  0.243  0.257
Pm  0.500  0.742  0.258
Pm  0.500  0.258  0.742
Dy  0.000  0.500  0.500
Ho  0.000  0.000  0.000
Ho  0.500  0.000  0.500

---

[3]
The following is a DFT calculation (PBE) of crystalline AcPm2Dy2Ho2 at its relaxed geometry.

For the energy, the calculation gives -4.525 eV/atom. As for the volume: 237.4 Å³/cell. The space-group type is C2/m, No. 12. The formation energy comes out at 42 meV/atom. The magnetic moment comes out at 0.000 μB/atom.

Lattice parameters (Å, degrees): 5.126 6.274 8.173 97.53 90.00 114.11
Fractional coordinates of all 7 atoms:
Ac  0.000  0.000  0.000
Pm  0.142  0.284  0.433
Pm  0.858  0.716  0.567
Dy  0.716  0.431  0.147
Dy  0.284  0.569  0.853
Ho  0.574  0.148  0.710
Ho  0.426  0.852  0.290

---

What is the magnetic moment in the first record? 0.000 μB/atom

---

Look up the magnetic moment of the third one. 0.000 μB/atom